## NdMgSnPb (PBE)

Data for NdMgSnPb after structural relaxation.

Output
ΔE_f in eV per formula unit: -1.84
Relative energy among the computed polymorphs in eV/f.u.: 0.00
Calculated volume in Å³ per cell: 107.7

Cell lengths 4.553, 4.849, 4.877 Å; angles 90.00, 90.00, 90.00 degrees
Space group Pmmm (No. 47)
Symmetry-distinct sites (fractional):
Nd  0.000  0.000  0.000 [1 per cell]
Mg  0.000  0.500  0.500 [1 per cell]
Sn  0.500  0.500  0.000 [1 per cell]
Pb  0.500  0.000  0.500 [1 per cell]